Cs3Tm3AlTe8 | GGA-PBE | relaxed

The density of states at the Fermi level comes out at 0.490 states/eV per atom. The formation energy from raw total energies is -1096 meV per atom. The calculation puts the total energy at -4.086 eV per atom.

The space group is C2/m (No. 12) and the conventional cell measures 14.990, 8.661 and 10.529 Å, with angles of 90.00, 118.31 and 90.00 degrees. Symmetry generates all atoms from Cs at (0.000, 0.000, 0.000), Cs at (0.250, 0.250, 0.000), Tm at (0.000, 0.500, 0.500), Tm at (0.250, 0.250, 0.500), Al at (0.000, 0.000, 0.500), Te at (0.019, 0.237, 0.321), Te at (0.218, 0.000, 0.679) and Te at (0.230, 0.500, 0.690).